No. 1
First-principles (PBE) data for a relaxed Ba3VPd crystal, as listed in Alexandria via LeMat-Bulk.

Results
* energy of formation from the pure elements: 0.362 eV per atom
* relative energy among the computed polymorphs: 0.00 eV per formula unit

Cell lengths 6.1468, 6.1468, 6.1468 Å; angles 90.00, 90.00, 90.00 degrees
Space group Pm-3m (No. 221)
One atom of each set of equivalent atoms:
1 Ba 0.0000 0.0000 0.5000 x3
2 V 0.5000 0.5000 0.5000 x1
3 Pd 0.0000 0.0000 0.0000 x1

No. 2
First-principles (PBE) data for a relaxed MnAl2Rh2 crystal, as listed in Alexandria via LeMat-Bulk.

Results
* energy of formation from the pure elements: -0.622 eV per atom

Cell lengths 7.1281, 7.1281, 2.9088 Å; angles 90.00, 90.00, 90.00 degrees
Space group P4/mbm (No. 127)
One atom of each set of equivalent atoms:
1 Mn 0.0000 0.0000 0.0000 x2
2 Al 0.1493 0.3507 0.5000 x4
3 Rh 0.1481 0.6481 0.0000 x4

No. 3
First-principles (PBE) data for a relaxed LiCdAsPd crystal, as listed in Alexandria via LeMat-Bulk.

Results
* energy of formation from the pure elements: -0.360 eV per atom

Cell lengths 6.4593, 6.4593, 6.4593 Å; angles 90.00, 90.00, 90.00 degrees
Space group F-43m (No. 216)
One atom of each set of equivalent atoms:
1 Li 0.0000 0.0000 0.0000 x4
2 Cd 0.2500 0.2500 0.7500 x4
3 As 0.2500 0.2500 0.2500 x4
4 Pd 0.0000 0.0000 0.5000 x4

No. 4
First-principles (PBE) data for a relaxed TaP crystal, as listed in Alexandria via LeMat-Bulk.

Results
* energy of formation from the pure elements: -0.191 eV per atom

Cell lengths 3.4600, 4.6393, 9.3196 Å; angles 90.00, 90.00, 90.00 degrees
Space group Cmme (No. 67)
One atom of each set of equivalent atoms:
1 Ta 0.0000 0.2500 0.1232 x4
2 P 0.0000 0.2500 0.6807 x4

No. 5
First-principles (PBE) data for a relaxed SrH3Br crystal, as listed in Alexandria via LeMat-Bulk.

Results
* relative energy among the computed polymorphs: 0.92 eV per formula unit

Cell lengths 4.3152, 4.3152, 4.3152 Å; angles 90.00, 90.00, 90.00 degrees
Space group Pm-3m (No. 221)
One atom of each set of equivalent atoms:
1 Sr 0.0000 0.0000 0.0000 x1
2 H 0.0000 0.5000 0.5000 x3
3 Br 0.5000 0.5000 0.5000 x1

No. 6
First-principles (PBE) data for a relaxed Pu2SiOs crystal, as listed in Alexandria via LeMat-Bulk.

Results
* energy relative to the elements, uncorrected: -222 meV/atom
* relative energy among the computed polymorphs: 0.11 eV per formula unit

Cell lengths 4.5872, 9.5028, 7.3309 Å; angles 90.00, 90.00, 90.00 degrees
Space group Fmm2 (No. 42)
One atom of each set of equivalent atoms:
1 Pu 0.0000 0.1653 0.0000 x8
2 Si 0.0000 0.0000 0.6635 x4
3 Os 0.0000 0.0000 0.3262 x4

No. 7
First-principles (PBE) data for a relaxed La3PbO6 crystal, as listed in Alexandria via LeMat-Bulk.

Results
* energy relative to the elements, uncorrected: -2833 meV/atom
* relative energy among the computed polymorphs: 0.00 eV per formula unit

Cell lengths 10.4250, 10.4250, 11.6537 Å; angles 90.00, 90.00, 120.00 degrees
Space group R-3 (No. 148, hexagonal axes)
One atom of each set of equivalent atoms:
1 La 0.0406 0.2674 0.2049 x18
2 Pb 0.0000 0.0000 0.0000 x3
3 Pb 0.0000 0.0000 0.5000 x3
4 O 0.0291 0.1816 0.8815 x18
5 O 0.0354 0.2394 0.4052 x18

No. 8
First-principles (PBE) data for a relaxed YCuSi2 crystal, as listed in Alexandria via LeMat-Bulk.

Results
* energy relative to the elements, uncorrected: 46 meV/atom

Cell lengths 6.5793, 6.5793, 6.5793 Å; angles 90.00, 90.00, 90.00 degrees
Space group F-43m (No. 216)
One atom of each set of equivalent atoms:
1 Y 0.0000 0.0000 0.0000 x4
2 Cu 0.2500 0.2500 0.7500 x4
3 Si 0.0000 0.0000 0.5000 x4
4 Si 0.2500 0.2500 0.2500 x4

No. 9
First-principles (PBE) data for a relaxed CeHgS crystal, as listed in Alexandria via LeMat-Bulk.

Results
* energy relative to the elements, uncorrected: -1165 meV/atom

Cell lengths 3.9395, 3.9395, 9.6817 Å; angles 90.00, 90.00, 90.00 degrees
Space group P4/nmm (No. 129, origin choice 2)
One atom of each set of equivalent atoms:
1 Ce 0.2500 0.2500 0.1777 x2
2 Hg 0.2500 0.2500 0.5638 x2
3 S 0.2500 0.2500 0.8827 x2

| no. | raw total energy (eV/atom) |
| --- | --- |
| 1 | -3.65 |
| 2 | -6.89 |
| 3 | -3.53 |
| 4 | -8.82 |
| 5 | -2.21 |
| 6 | -11.55 |
| 7 | -7.66 |
| 8 | -5.31 |
| 9 | -4.62 |